Record 1
DFT (PBE-GGA) results for an optimized crystal structure of VFeP.

Values from the calculation:
The volume is 72 Å³ per cell. For the formation energy, the calculation gives -0.270 eV/atom.

a = 3.1282 Å, b = 3.1282 Å, c = 7.3440 Å
α = 90.00°, β = 90.00°, γ = 90.00°
Last column: nearest neighbours and their distance in Å.
Space group I4mm (No. 107)
Asymmetric unit:
V 0.0000 0.0000 0.0000 [2 per cell]  5 Fe 2.40-2.55, 5 P 2.49-2.51
Fe 0.0000 0.0000 0.6734 [2 per cell]  5 V 2.40-2.55, 5 P 2.45-2.53
P 0.0000 0.0000 0.3393 [2 per cell]  5 Fe 2.45-2.53, 5 V 2.49-2.51

Record 2
DFT (PBE-GGA) results for an optimized crystal structure of LuMgNi.

Values from the calculation:
The volume is 118 Å³ per cell. For the formation energy, the calculation gives -0.236 eV/atom.

a = 3.2695 Å, b = 3.2695 Å, c = 11.0424 Å
α = 90.00°, β = 90.00°, γ = 90.00°
Last column: nearest neighbours and their distance in Å.
Space group I4mm (No. 107)
Asymmetric unit:
Lu 0.0000 0.0000 0.0000 [2 per cell]  4 Ni 2.77, 1 Mg 3.04
Mg 0.0000 0.0000 0.7248 [2 per cell]  4 Ni 2.77, 1 Lu 3.04
Ni 0.0000 0.0000 0.3623 [2 per cell]  4 Mg 2.77, 4 Lu 2.77

Record 3
DFT (PBE-GGA) results for an optimized crystal structure of Sc5InTc.

Values from the calculation:
The volume is 651 Å³ per cell. For the formation energy, the calculation gives -0.097 eV/atom.

a = 7.9226 Å, b = 8.6450 Å, c = 9.5513 Å
α = 90.00°, β = 95.70°, γ = 90.00°
Last column: nearest neighbours and their distance in Å.
Space group C2/c (No. 15)
Asymmetric unit:
Sc 0.0000 0.1279 0.2500 [4 per cell]  2 Tc 2.63
Sc 0.1506 0.2159 0.6473 [8 per cell]  1 Tc 2.56
Sc 0.1898 0.4104 0.0150 [8 per cell]  1 Tc 2.59, 1 In 2.89
In 0.0000 0.4798 0.2500 [4 per cell]  7 Sc 2.89-3.09
Tc 0.0000 0.0000 0.0000 [4 per cell]  6 Sc 2.56-2.63

Across the entries above, magnetization takes the values 0.4573; 0.0000; 0.0000 μB/atom, respectively.